This record from Alexandria via LeMat-Bulk describes a relaxed Er2ScPb2O2 crystal. The functional is GGA-PBE.

Output
- ΔE_f (raw) (eV per atom) = -1.652
- E (eV per atom) = -6.336
- space-group type = I4/mmm

```
Er2ScPb2O2
1.0
4.1262 0.0000 0.0000
0.0000 4.1262 0.0000
-2.0631 -2.0631 8.1689
Er O Pb Sc
2 2 2 1
Direct
0.6017 0.6017 0.2034
0.3983 0.3983 0.7966
0.0000 0.5000 0.0000
0.5000 0.0000 0.0000
0.8034 0.8034 0.6067
0.1966 0.1966 0.3933
0.0000 0.0000 0.0000
```